No. 1
Zr2Pd2Au | PBE | relaxed

Computed properties:
DFT formation energy = -644 meV per atom
Symmetry = P2_1/m, No. 11
Final energy = -6.795 eV per atom

Unit cell a=4.926 b=5.040 c=7.917 alpha=107.98 beta=90.00 gamma=90.00
Positions (direct):
Au1 0.750 0.430 0.901
Pd1 0.750 0.034 0.109
Zr1 0.250 0.370 0.709
Pd2 0.250 0.966 0.891
Zr2 0.750 0.630 0.291
Zr3 0.250 0.153 0.281
Zr4 0.750 0.847 0.719
Au2 0.250 0.570 0.099
Pd3 0.750 0.195 0.501
Pd4 0.250 0.805 0.499

No. 2
LiGaSi | PBE | relaxed

Computed properties:
Formation energy from raw total energies = 0.027 eV per atom
Symmetry = P4_122, No. 91
Final energy = -3.428 eV per atom

Unit cell a=5.000 b=5.000 c=7.869 alpha=90.00 beta=90.00 gamma=90.00
Positions (direct):
Si1 0.500 0.287 0.500
Si2 0.713 0.500 0.750
Li1 0.000 0.265 0.500
Si3 0.500 0.713 0.000
Li2 0.000 0.735 0.000
Ga1 0.239 0.239 0.875
Si4 0.287 0.500 0.250
Ga2 0.239 0.761 0.625
Ga3 0.761 0.761 0.375
Ga4 0.761 0.239 0.125
Li3 0.265 0.000 0.250
Li4 0.735 0.000 0.750

No. 3
Ac3TlNi2 | PBE | relaxed

Computed properties:
DFT formation energy = -241 meV per atom
Symmetry = Pmc2_1, No. 26
Final energy = -4.616 eV per atom

Unit cell a=4.102 b=8.525 c=10.388 alpha=90.00 beta=90.00 gamma=90.00
Positions (direct):
Ac1 0.000 0.837 0.570
Ac2 0.500 0.638 0.859
Ac3 0.500 0.138 0.141
Tl1 0.000 0.957 0.914
Ac4 0.500 0.723 0.258
Ac5 0.000 0.337 0.430
Tl2 0.000 0.457 0.086
Ni1 0.000 0.985 0.320
Ni2 0.500 0.061 0.441
Ni3 0.000 0.485 0.680
Ni4 0.500 0.561 0.559
Ac6 0.500 0.223 0.742

No. 4
SrScHgAu | PBE | relaxed

Computed properties:
DFT formation energy = -454 meV per atom
Symmetry = F-43m, No. 216
Final energy = -3.352 eV per atom

Unit cell a=5.217 b=5.217 c=5.217 alpha=60.00 beta=60.00 gamma=60.00
Positions (direct):
Sc1 0.750 0.750 0.750
Sr1 0.250 0.250 0.250
Au1 0.000 0.000 0.000
Hg1 0.500 0.500 0.500

No. 5
BaNaMg2Pb4 | PBE | relaxed

Computed properties:
DFT formation energy = -211 meV per atom
Symmetry = R-3m, No. 166
Final energy = -2.869 eV per atom

Unit cell a=5.273 b=5.273 c=10.587 alpha=75.58 beta=75.58 gamma=60.00
Positions (direct):
Na1 0.500 0.500 0.500
Pb1 0.395 0.395 0.815
Pb2 0.605 0.605 0.185
Pb3 0.129 0.129 0.614
Mg1 0.242 0.242 0.274
Ba1 0.000 0.000 0.000
Pb4 0.871 0.871 0.386
Mg2 0.758 0.758 0.726

No. 6
RbLi3Cu | PBE | relaxed

Computed properties:
DFT formation energy = 203 meV per atom
Symmetry = Pm-3m, No. 221
Final energy = -1.958 eV per atom

Unit cell a=5.204 b=5.204 c=5.204 alpha=90.00 beta=90.00 gamma=90.00
Positions (direct):
Li1 0.000 0.500 0.000
Rb1 0.500 0.500 0.500
Li2 0.500 0.000 0.000
Li3 0.000 0.000 0.500
Cu1 0.000 0.000 0.000